Run 1
First-principles (PBE) data for a relaxed structure of Mg2CrI, as listed in Alexandria.

```
Mg2CrI
1.0
0.000 3.700 3.700
3.700 0.000 3.700
3.700 3.700 0.000
Cr I Mg
1 1 2
Direct
0.000 0.000 0.000
0.500 0.500 0.500
0.750 0.750 0.750
0.250 0.250 0.250
```

Computed properties:
* symmetry: Fm-3m

---

Run 2
First-principles (PBE) data for a relaxed structure of Mg2CrI, as listed in Alexandria.

```
Mg2CrI
1.0
8.293 0.000 0.000
0.000 8.293 0.000
4.146 4.146 3.091
Mg Cr I
4 2 2
Direct
0.375 0.384 0.750
0.875 0.866 0.750
0.134 0.625 0.250
0.616 0.125 0.250
0.250 0.750 0.500
0.500 0.500 0.000
0.750 0.250 0.500
0.000 0.000 0.000
```

Computed properties:
* symmetry: I-42d

---

What should be chosen as the least stable of them? Choose run 1.

---

Run 1
First-principles (PBE) data for a relaxed structure of MgCrIN2, as listed in Alexandria.

```
MgCrIN2
1.0
-1.937 0.632 3.515
0.791 -3.823 1.123
4.921 1.724 2.402
N Mg I Cr
2 1 1 1
Direct
0.000 0.500 0.000
0.500 0.000 0.000
0.000 0.000 0.000
0.000 0.000 0.500
0.500 0.500 0.500
```

Computed properties:
* symmetry: P4/mmm

---

Run 2
First-principles (PBE) data for a relaxed structure of MgCrIN2, as listed in Alexandria.

```
MgCrIN2
1.0
3.821 0.000 0.000
0.000 3.821 0.000
0.000 0.000 5.506
I N Mg Cr
1 2 1 1
Direct
0.000 0.000 0.500
0.500 0.000 0.000
0.000 0.500 0.000
0.500 0.500 0.500
0.000 0.000 0.000
```

Computed properties:
* symmetry: P4/mmm

---

What should be chosen as the least stable of them? Choose run 1.

---

Run 1
First-principles (PBE) data for a relaxed structure of MgCrSb2I, as listed in Alexandria.

```
MgCrSb2I
1.0
-1.730 4.100 -3.060
-5.050 -0.852 1.713
0.860 3.588 4.322
Sb Cr Mg I
2 1 1 1
Direct
0.000 0.500 0.000
0.500 0.000 0.000
0.500 0.500 0.500
0.000 0.000 0.000
0.000 0.000 0.500
```

Computed properties:
* symmetry: P4/mmm

---

Run 2
First-principles (PBE) data for a relaxed structure of MgCrSb2I, as listed in Alexandria.

```
MgCrSb2I
1.0
-3.391 -3.430 -1.468
2.665 -0.838 -4.197
3.063 -4.221 2.788
Mg Sb I Cr
1 2 1 1
Direct
0.500 0.500 0.500
0.500 0.000 0.000
0.000 0.500 0.000
0.000 0.000 0.500
0.000 0.000 0.000
```

Computed properties:
* symmetry: P4/mmm

---

What should be chosen as the least stable of them? Choose run 1.

---

Run 1
First-principles (PBE) data for a relaxed structure of Mn2CrI6, as listed in Alexandria.

```
Mn2CrI6
1.0
-2.424 0.508 3.338
-5.022 -6.773 -2.617
8.216 -3.605 3.926
Mn I Cr
2 6 1
Direct
0.834 0.665 0.668
0.166 0.335 0.332
0.326 0.429 0.652
0.343 0.903 0.685
0.657 0.097 0.315
0.993 0.767 0.987
0.007 0.233 0.013
0.674 0.571 0.348
0.500 0.000 0.000
```

Computed properties:
* symmetry: C2/m

---

Run 2
First-principles (PBE) data for a relaxed structure of Mn2CrI6, as listed in Alexandria.

```
Mn2CrI6
1.0
4.187 0.005 0.002
2.196 3.565 0.002
0.605 0.339 22.565
I Cr Mn
6 1 2
Direct
0.640 0.640 0.928
0.360 0.360 0.072
0.991 0.991 0.740
0.009 0.009 0.260
0.339 0.339 0.594
0.661 0.661 0.406
0.000 0.000 0.000
0.335 0.335 0.333
0.665 0.665 0.667
```

Computed properties:
* symmetry: C2/m

---

What should be chosen as the least stable of them? Choose run 1.

---

Run 1
First-principles (PBE) data for a relaxed structure of MnCrIN2, as listed in Alexandria.

```
MnCrIN2
1.0
3.732 0.000 0.000
0.000 3.732 0.000
0.000 0.000 5.612
I N Cr Mn
1 2 1 1
Direct
0.000 0.000 0.500
0.000 0.500 0.000
0.500 0.000 0.000
0.500 0.500 0.500
0.000 0.000 0.000
```

Computed properties:
* symmetry: P4/mmm

---

Run 2
First-principles (PBE) data for a relaxed structure of MnCrIN2, as listed in Alexandria.

```
MnCrIN2
1.0
3.774 0.000 0.000
0.000 3.774 0.000
0.000 0.000 5.577
Cr I N Mn
1 1 2 1
Direct
0.000 0.000 0.000
0.000 0.000 0.500
0.000 0.500 0.000
0.500 0.000 0.000
0.500 0.500 0.500
```

Computed properties:
* symmetry: P4/mmm

---

What should be chosen as the least stable of them? Choose run 1.

---

Run 1
First-principles (PBE) data for a relaxed structure of MnCrSb2I, as listed in Alexandria.

```
MnCrSb2I
1.0
-2.539 -0.410 -4.290
-3.977 -1.692 2.516
-1.926 5.447 0.619
Mn Sb I Cr
1 2 1 1
Direct
0.000 0.000 0.000
0.000 0.500 0.000
0.500 0.000 0.000
0.000 0.000 0.500
0.500 0.500 0.500
```

Computed properties:
* symmetry: P4/mmm

---

Run 2
First-principles (PBE) data for a relaxed structure of MnCrSb2I, as listed in Alexandria.

```
MnCrSb2I
1.0
5.074 0.000 0.000
0.000 5.074 0.000
0.000 0.000 5.705
I Mn Sb Cr
1 1 2 1
Direct
0.000 0.000 0.500
0.500 0.500 0.500
0.500 0.000 0.000
0.000 0.500 0.000
0.000 0.000 0.000
```

Computed properties:
* symmetry: P4/mmm

---

What should be chosen as the least stable of them? Choose run 2.

---

Run 1
First-principles (PBE) data for a relaxed structure of CrMoI2, as listed in Alexandria.

```
CrMoI2
1.0
6.100 0.000 0.000
0.000 6.100 0.000
3.050 3.050 5.698
I Mo Cr
4 2 2
Direct
0.875 0.858 0.750
0.608 0.125 0.250
0.375 0.392 0.750
0.142 0.625 0.250
0.750 0.250 0.500
0.000 0.000 0.000
0.500 0.500 0.000
0.250 0.750 0.500
```

Computed properties:
* symmetry: I-42d

---

Run 2
First-principles (PBE) data for a relaxed structure of CrMoI2, as listed in Alexandria.

```
CrMoI2
1.0
0.000 3.343 3.343
3.343 0.000 3.343
3.343 3.343 0.000
I Mo Cr
2 1 1
Direct
0.750 0.750 0.750
0.250 0.250 0.250
0.500 0.500 0.500
0.000 0.000 0.000
```

Computed properties:
* symmetry: Fm-3m

---

What should be chosen as the least stable of them? Choose run 1.

---

Run 1
First-principles (PBE) data for a relaxed structure of CrSb2MoI, as listed in Alexandria.

```
CrSb2MoI
1.0
5.034 0.000 0.000
0.000 5.034 0.000
0.000 0.000 5.669
Sb Cr Mo I
2 1 1 1
Direct
0.500 0.000 0.000
0.000 0.500 0.000
0.000 0.000 0.000
0.500 0.500 0.500
0.000 0.000 0.500
```

Computed properties:
* symmetry: P4/mmm

---

Run 2
First-principles (PBE) data for a relaxed structure of CrSb2MoI, as listed in Alexandria.

```
CrSb2MoI
1.0
-1.935 4.721 0.852
-4.535 -2.100 1.337
1.787 -0.281 5.620
Sb I Mo Cr
2 1 1 1
Direct
0.000 0.500 0.000
0.500 0.000 0.000
0.000 0.000 0.500
0.000 0.000 0.000
0.500 0.500 0.500
```

Computed properties:
* symmetry: P4/mmm

---

What should be chosen as the least stable of them? Choose run 1.